# 1
Dy3In5Se12 | PBE | optimized geometry

Computed properties:
Space-group type = Ia-3d
ΔE_f (raw) = -0.96 eV per atom
V = 28.00 Å³/atom
VASP energy = -4.426 eV/atom

a = 14.2761 Å, b = 14.2761 Å, c = 14.2761 Å
α = 109.47°, β = 109.47°, γ = 109.47°
Last column: nearest neighbours and their distance in Å.
Fractional coordinates of all 80 atoms:
Se (0.3679, 0.9544, 0.7815)  2 In 2.60-2.76
Se (0.0456, 0.6321, 0.7185)  2 In 2.60-2.76
Se (0.0456, 0.4135, 0.8271)  2 In 2.60-2.76
Se (0.0865, 0.1729, 0.4544)  2 In 2.60-2.76
Se (0.2185, 0.6729, 0.0864)  2 In 2.60-2.76
Se (0.5865, 0.6321, 0.4136)  2 In 2.60-2.76
Se (0.4544, 0.6729, 0.0865)  2 In 2.60-2.76
Se (0.2815, 0.8679, 0.9544)  2 In 2.60-2.76
Se (0.2185, 0.5456, 0.6321)  2 In 2.60-2.76
Se (0.7185, 0.1321, 0.0456)  2 In 2.60-2.76
Se (0.9136, 0.0865, 0.6321)  2 In 2.60-2.76
Se (0.8271, 0.9136, 0.2815)  2 In 2.60-2.76
Se (0.6321, 0.5865, 0.9136)  2 In 2.60-2.76
Se (0.4135, 0.0456, 0.3271)  2 In 2.60-2.76
Se (0.3679, 0.4135, 0.0864)  2 In 2.60-2.76
Se (0.4544, 0.7815, 0.8679)  2 In 2.60-2.76
Se (0.9135, 0.0864, 0.8679)  2 In 2.60-2.76
Se (0.9135, 0.8271, 0.5456)  2 In 2.60-2.76
Se (0.5864, 0.8679, 0.4135)  2 In 2.60-2.76
Se (0.2815, 0.4136, 0.8271)  2 In 2.60-2.76
Se (0.5456, 0.3271, 0.9135)  2 In 2.60-2.76
Se (0.4136, 0.2815, 0.3271)  2 In 2.60-2.76
Se (0.6729, 0.4544, 0.5865)  2 In 2.60-2.76
Se (0.7185, 0.5864, 0.1729)  2 In 2.60-2.76
Se (0.5864, 0.7185, 0.6729)  2 In 2.60-2.76
Se (0.8679, 0.2815, 0.4544)  2 In 2.60-2.76
Se (0.0864, 0.1729, 0.2185)  2 In 2.60-2.76
Se (0.5456, 0.2185, 0.1321)  2 In 2.60-2.76
Se (0.4136, 0.1321, 0.5865)  2 In 2.60-2.76
Se (0.8679, 0.5864, 0.9135)  2 In 2.60-2.76
Se (0.9544, 0.3679, 0.2815)  2 In 2.60-2.76
Se (0.3271, 0.5456, 0.4135)  2 In 2.60-2.76
Se (0.7815, 0.4544, 0.3679)  2 In 2.60-2.76
Se (0.1729, 0.0864, 0.7185)  2 In 2.60-2.76
Se (0.5865, 0.9544, 0.6729)  2 In 2.60-2.76
Se (0.8271, 0.9135, 0.0456)  2 In 2.60-2.76
Se (0.6321, 0.0456, 0.2185)  2 In 2.60-2.76
Se (0.7815, 0.3271, 0.9136)  2 In 2.60-2.76
Se (0.0864, 0.9135, 0.3679)  2 In 2.60-2.76
Se (0.1729, 0.0865, 0.9544)  2 In 2.60-2.76
Se (0.1321, 0.7185, 0.5456)  2 In 2.60-2.76
Se (0.1321, 0.4136, 0.0865)  2 In 2.60-2.76
Se (0.0865, 0.9136, 0.1321)  2 In 2.60-2.76
Se (0.4135, 0.3679, 0.5864)  2 In 2.60-2.76
Se (0.6729, 0.2185, 0.5864)  2 In 2.60-2.76
Se (0.9544, 0.5865, 0.1729)  2 In 2.60-2.76
Se (0.9136, 0.8271, 0.7815)  2 In 2.60-2.76
Se (0.3271, 0.7815, 0.4136)  2 In 2.60-2.76
In (0.6250, 0.8750, 0.2500)  4 Se 2.60
In (0.3750, 0.1250, 0.7500)  4 Se 2.60
In (0.0000, 0.0000, 0.5000)  6 Se 2.76
In (0.5000, 0.0000, 0.5000)  6 Se 2.76
In (0.8750, 0.2500, 0.6250)  4 Se 2.60
In (0.0000, 0.5000, 0.0000)  6 Se 2.76
In (0.1250, 0.3750, 0.2500)  4 Se 2.60
In (0.2500, 0.3750, 0.6250)  4 Se 2.60
In (0.2500, 0.8750, 0.1250)  4 Se 2.60
In (0.3750, 0.2500, 0.1250)  4 Se 2.60
In (0.0000, 0.0000, 0.0000)  6 Se 2.76
In (0.5000, 0.0000, 0.0000)  6 Se 2.76
In (0.0000, 0.5000, 0.5000)  6 Se 2.76
In (0.1250, 0.7500, 0.3750)  4 Se 2.60
In (0.8750, 0.6250, 0.7500)  4 Se 2.60
In (0.5000, 0.5000, 0.0000)  6 Se 2.76
In (0.5000, 0.5000, 0.5000)  6 Se 2.76
In (0.6250, 0.7500, 0.8750)  4 Se 2.60
In (0.7500, 0.6250, 0.3750)  4 Se 2.60
In (0.7500, 0.1250, 0.8750)  4 Se 2.60
Dy (0.6250, 0.3750, 0.7500)  8 Se 3.08-3.09
Dy (0.6250, 0.2500, 0.3750)  8 Se 3.08-3.09
Dy (0.8750, 0.1250, 0.2500)  8 Se 3.08-3.09
Dy (0.1250, 0.2500, 0.8750)  8 Se 3.08-3.09
Dy (0.7500, 0.8750, 0.6250)  8 Se 3.08-3.09
Dy (0.7500, 0.3750, 0.1250)  8 Se 3.08-3.09
Dy (0.1250, 0.8750, 0.7500)  8 Se 3.08-3.09
Dy (0.3750, 0.6250, 0.2500)  8 Se 3.08-3.09
Dy (0.2500, 0.1250, 0.3750)  8 Se 3.08-3.09
Dy (0.8750, 0.7500, 0.1250)  8 Se 3.08-3.09
Dy (0.2500, 0.6250, 0.8750)  8 Se 3.08-3.09
Dy (0.3750, 0.7500, 0.6250)  8 Se 3.08-3.09



# 2
BeTcOs2 | PBE | optimized geometry

Computed properties:
Space-group type = P4mm
V = 12.74 Å³/atom
ΔH_f (0 K) = -0.034 eV per atom
VASP energy = -9.172 eV/atom

a = 2.7699 Å, b = 2.7699 Å, c = 6.6441 Å
α = 90.00°, β = 90.00°, γ = 90.00°
Last column: nearest neighbours and their distance in Å.
Fractional coordinates of all 4 atoms:
Os (0.0000, 0.0000, 0.9630)  4 Be 2.39
Os (0.5000, 0.5000, 0.2474)  4 Tc 2.72, 8 Os 2.72-2.77
Be (0.5000, 0.5000, 0.7581)  4 Os 2.39, 4 Tc 2.47
Tc (0.0000, 0.0000, 0.5315)  4 Be 2.47, 4 Os 2.72